[1]
Compound: TePtN2Cl
Source: the Alexandria database
Functional: PBEsol
Structure: optimized geometry

## Properties
Crystal system = tetragonal
Calculated total energy = -3.829 eV per atom
E_form (uncorrected) = 2.081 eV/atom
Symmetry = P4/mmm

Unit cell a=3.6842 b=3.6842 c=6.5343 alpha=90.00 beta=90.00 gamma=90.00
With the nearest neighbours (Å) after each atom.
Fractional coordinates of all 5 atoms:
Cl 0.0000 0.0000 0.0000  4 N 1.84
N 0.5000 0.0000 0.0000  2 Cl 1.84
N 0.0000 0.5000 0.0000  2 Cl 1.84
Pt 0.5000 0.5000 0.5000  4 Te 2.61
Te 0.0000 0.0000 0.5000  4 Pt 2.61

[2]
Compound: CoSn2Ir
Source: the Alexandria database
Functional: PBEsol
Structure: optimized geometry

## Properties
Crystal system = cubic
Calculated total energy = -6.448 eV per atom
Symmetry = Fm-3m

Unit cell a=4.5096 b=4.5096 c=4.5096 alpha=60.00 beta=60.00 gamma=60.00
With the nearest neighbours (Å) after each atom.
Fractional coordinates of all 4 atoms:
Ir 0.5000 0.5000 0.5000  8 Sn 2.76
Co 0.0000 0.0000 0.0000  8 Sn 2.76
Sn 0.2500 0.2500 0.2500  4 Ir 2.76, 4 Co 2.76
Sn 0.7500 0.7500 0.7500  4 Co 2.76, 4 Ir 2.76

[3]
Compound: ErTa3
Source: the Alexandria database
Functional: PBEsol
Structure: optimized geometry

## Properties
Crystal system = cubic
Calculated total energy = -10.290 eV per atom
Symmetry = Fm-3m

Unit cell a=4.7732 b=4.7732 c=4.7732 alpha=60.00 beta=60.00 gamma=60.00
With the nearest neighbours (Å) after each atom.
Fractional coordinates of all 4 atoms:
Ta 0.5000 0.5000 0.5000  8 Ta 2.92
Ta 0.7500 0.7500 0.7500  4 Ta 2.92, 4 Er 2.92
Ta 0.2500 0.2500 0.2500  4 Ta 2.92, 4 Er 2.92
Er 0.0000 0.0000 0.0000  8 Ta 2.92